Model a:
{"formula": "HfCuIrRh", "functional": "GGA-PBE", "state": "optimized geometry", "space_group": "No. 216", "crystal_system": "cubic", "lattice": [[-0.5608, 4.2029, -1.2833], [-3.4703, 2.3232, 1.4784], [0.6131, 3.2996, 2.8918]], "species": ["Rh", "Ir", "Hf", "Cu"], "fractional_positions": [[0.7500, 0.7500, 0.7500], [0.2500, 0.2500, 0.2500], [0.0000, 0.0000, 0.0000], [0.5000, 0.5000, 0.5000]]}

=====

Model b:
{"formula": "HfCuIrRh", "functional": "GGA-PBE", "state": "optimized geometry", "space_group": "No. 47", "crystal_system": "orthorhombic", "lattice": [[3.7256, 0.0000, 0.0000], [0.0000, 4.0356, 0.0000], [0.0000, 0.0000, 4.0141]], "species": ["Hf", "Cu", "Ir", "Rh"], "fractional_positions": [[0.5000, 0.5000, 0.0000], [0.5000, 0.0000, 0.5000], [0.0000, 0.0000, 0.0000], [0.0000, 0.5000, 0.5000]]}

=====

Stability ranking, top entry: model b; the second entry is 0.088 eV/atom less favorable.